LiTlFe2 (PBE, optimized geometry); symmetry = Cmmm (65); formation energy = 45.0 kJ/mol of atoms
1.0
5.244 0.000 0.000
0.000 8.422 0.000
0.000 0.000 2.806
Li Tl Fe
2 2 4
direct
0.000 0.000 0.000
0.500 0.500 0.000
0.000 0.500 0.000
0.500 0.000 0.000
0.250 0.250 0.500
0.250 0.750 0.500
0.750 0.250 0.500
0.750 0.750 0.500

***

YTa2Sb (PBE, optimized geometry); symmetry = P4/mmm (123); formation energy (no corrections) = 0.0633 eV/atom
1.0
4.197 0.000 0.000
0.000 4.197 0.000
0.000 0.000 4.852
Y Ta Sb
1 2 1
direct
0.000 0.000 0.000
0.000 0.500 0.500
0.500 0.000 0.500
0.500 0.500 0.000

***

YPd3W (PBE, optimized geometry); symmetry = Pm-3m (221); formation energy = 42.0 kJ/mol of atoms
1.0
4.846 0.000 0.000
0.000 4.846 0.000
0.000 0.000 4.846
Y Pd W
1 3 1
direct
0.000 0.000 0.000
0.000 0.500 0.500
0.500 0.000 0.500
0.500 0.500 0.000
0.500 0.500 0.500

***

BaHfTa2Bi (PBE, optimized geometry); symmetry = P4/mmm (123); formation energy = 142.0 kJ/mol of atoms
1.0
5.072 0.000 0.000
0.000 5.072 0.000
0.000 0.000 6.082
Ba Hf Ta Bi
1 1 2 1
direct
0.000 0.000 0.000
0.000 0.000 0.500
0.000 0.500 0.500
0.500 0.000 0.500
0.500 0.500 0.000